The following is a PBE+U calculation of CoP2OF after structural relaxation, from the Alexandria database. Values from VASP.

Geometry as Quantum ESPRESSO input:
```
&SYSTEM
  ibrav = 0, nat = 5, ntyp = 4
/
ATOMIC_SPECIES
F 19.00 F.upf
O 16.00 O.upf
P 30.97 P.upf
Co 58.93 Co.upf
CELL_PARAMETERS angstrom
4.491 0.000 0.000
0.000 4.491 0.000
0.000 0.000 3.475
ATOMIC_POSITIONS crystal
F 0.500 0.500 0.500
O 0.000 0.000 0.500
P 0.000 0.500 0.000
P 0.500 0.000 0.000
Co 0.000 0.000 0.000
```

Output
- space-group type = No. 123
- volume (Å³ per cell) = 70.1
- E above lowest polymorph (eV/f.u.) = 0.00
- Fermi-level density of states (states/eV per cell) = 4.03
- total magnetization (μB per formula unit) = 2.59

The following is a PBE+U calculation of CoP2OF after structural relaxation, from the Alexandria database. Values from VASP.

Geometry as Quantum ESPRESSO input:
```
&SYSTEM
  ibrav = 0, nat = 5, ntyp = 4
/
ATOMIC_SPECIES
Co 58.93 Co.upf
F 19.00 F.upf
P 30.97 P.upf
O 16.00 O.upf
CELL_PARAMETERS angstrom
-2.143 2.398 2.370
-0.545 -3.018 2.561
3.658 1.155 2.139
ATOMIC_POSITIONS crystal
Co 0.500 0.500 0.500
F 0.000 0.000 0.000
P 0.500 0.000 0.000
P 0.000 0.500 0.000
O 0.000 0.000 0.500
```

Output
- space-group type = No. 123
- volume (Å³ per cell) = 70.1
- E above lowest polymorph (eV/f.u.) = 3.10
- Fermi-level density of states (states/eV per cell) = 2.42
- total magnetization (μB per formula unit) = 1.77

The following is a PBE+U calculation of CoPO2F after structural relaxation, from the Alexandria database. Values from VASP.

Geometry as Quantum ESPRESSO input:
```
&SYSTEM
  ibrav = 0, nat = 5, ntyp = 4
/
ATOMIC_SPECIES
O 16.00 O.upf
Co 58.93 Co.upf
F 19.00 F.upf
P 30.97 P.upf
CELL_PARAMETERS angstrom
-4.375 -0.274 0.006
0.128 -2.119 -3.835
0.185 -2.920 1.620
ATOMIC_POSITIONS crystal
O 0.500 0.000 0.000
O 0.000 0.500 0.000
Co 0.500 0.500 0.500
F 0.000 0.000 0.000
P 0.000 0.000 0.500
```

Output
- space-group type = No. 123
- volume (Å³ per cell) = 64.3
- Fermi-level density of states (states/eV per cell) = 2.91
- DFT total energy (eV per atom) = -3.6444
- total magnetization (μB per formula unit) = 3.22

The following is a PBE+U calculation of CoPbO2F after structural relaxation, from the Alexandria database. Values from VASP.

Geometry as Quantum ESPRESSO input:
```
&SYSTEM
  ibrav = 0, nat = 5, ntyp = 4
/
ATOMIC_SPECIES
Co 58.93 Co.upf
Pb 207.20 Pb.upf
O 16.00 O.upf
F 19.00 F.upf
CELL_PARAMETERS angstrom
-2.919 1.006 -2.254
0.164 -3.404 -1.731
-2.662 -1.534 2.764
ATOMIC_POSITIONS crystal
Co 0.000 0.000 0.000
Pb 0.500 0.500 0.500
O 0.500 0.000 0.000
O 0.000 0.500 0.000
F 0.000 0.000 0.500
```

Output
- space-group type = No. 123
- volume (Å³ per cell) = 60.4
- Fermi-level density of states (states/eV per cell) = 2.00
- DFT total energy (eV per atom) = -5.3326
- total magnetization (μB per formula unit) = 2.76

The following is a PBE+U calculation of CoPdOF2 after structural relaxation, from the Alexandria database. Values from VASP.

Geometry as Quantum ESPRESSO input:
```
&SYSTEM
  ibrav = 0, nat = 5, ntyp = 4
/
ATOMIC_SPECIES
Co 58.93 Co.upf
O 16.00 O.upf
F 19.00 F.upf
Pd 106.42 Pd.upf
CELL_PARAMETERS angstrom
-0.128 3.626 -1.871
-3.754 -0.839 -1.369
-1.453 1.524 3.052
ATOMIC_POSITIONS crystal
Co 0.000 0.000 0.000
O 0.000 0.000 0.500
F 0.500 0.000 0.000
F 0.000 0.500 0.000
Pd 0.500 0.500 0.500
```

Output
- space-group type = No. 123
- volume (Å³ per cell) = 61.8
- E above lowest polymorph (eV/f.u.) = 0.00
- Fermi-level density of states (states/eV per cell) = 14.22
- total magnetization (μB per formula unit) = 4.98

The following is a PBE+U calculation of CoPdOF2 after structural relaxation, from the Alexandria database. Values from VASP.

Geometry as Quantum ESPRESSO input:
```
&SYSTEM
  ibrav = 0, nat = 5, ntyp = 4
/
ATOMIC_SPECIES
F 19.00 F.upf
Co 58.93 Co.upf
Pd 106.42 Pd.upf
O 16.00 O.upf
CELL_PARAMETERS angstrom
-1.640 -3.746 1.030
1.253 -1.568 -3.708
3.456 -1.068 1.620
ATOMIC_POSITIONS crystal
F 0.500 0.000 0.000
F 0.000 0.500 0.000
Co 0.500 0.500 0.500
Pd 0.000 0.000 0.000
O 0.000 0.000 0.500
```

Output
- space-group type = No. 123
- volume (Å³ per cell) = 70.5
- E above lowest polymorph (eV/f.u.) = 1.95
- Fermi-level density of states (states/eV per cell) = 3.60
- total magnetization (μB per formula unit) = 2.71

The following is a PBE+U calculation of CoPdO2F after structural relaxation, from the Alexandria database. Values from VASP.

Geometry as Quantum ESPRESSO input:
```
&SYSTEM
  ibrav = 0, nat = 5, ntyp = 4
/
ATOMIC_SPECIES
O 16.00 O.upf
Co 58.93 Co.upf
Pd 106.42 Pd.upf
F 19.00 F.upf
CELL_PARAMETERS angstrom
3.781 0.000 0.000
0.000 3.781 0.000
0.000 0.000 3.885
ATOMIC_POSITIONS crystal
O 0.000 0.500 0.000
O 0.500 0.000 0.000
Co 0.000 0.000 0.000
Pd 0.500 0.500 0.500
F 0.000 0.000 0.500
```

Output
- space-group type = No. 123
- volume (Å³ per cell) = 55.5
- Fermi-level density of states (states/eV per cell) = 6.69
- DFT total energy (eV per atom) = -4.7782
- total magnetization (μB per formula unit) = 2.82

The following is a PBE+U calculation of CoPdO2F after structural relaxation, from the Alexandria database. Values from VASP.

Geometry as Quantum ESPRESSO input:
```
&SYSTEM
  ibrav = 0, nat = 5, ntyp = 4
/
ATOMIC_SPECIES
F 19.00 F.upf
Co 58.93 Co.upf
Pd 106.42 Pd.upf
O 16.00 O.upf
CELL_PARAMETERS angstrom
-1.240 3.602 -1.260
-1.539 -1.684 -3.301
-3.495 -0.537 1.904
ATOMIC_POSITIONS crystal
F 0.000 0.000 0.500
Co 0.500 0.500 0.500
Pd 0.000 0.000 0.000
O 0.500 0.000 0.000
O 0.000 0.500 0.000
```

Output
- space-group type = No. 123
- volume (Å³ per cell) = 64.7
- Fermi-level density of states (states/eV per cell) = 3.62
- DFT total energy (eV per atom) = -4.5323
- total magnetization (μB per formula unit) = 3.02

The following is a PBE+U calculation of CoPtOF2 after structural relaxation, from the Alexandria database. Values from VASP.

Geometry as Quantum ESPRESSO input:
```
&SYSTEM
  ibrav = 0, nat = 5, ntyp = 4
/
ATOMIC_SPECIES
O 16.00 O.upf
F 19.00 F.upf
Pt 195.08 Pt.upf
Co 58.93 Co.upf
CELL_PARAMETERS angstrom
4.071 0.000 0.000
0.000 3.744 0.000
0.000 0.000 4.071
ATOMIC_POSITIONS crystal
O 0.000 0.500 0.000
F 0.500 0.000 0.000
F 0.000 0.000 0.500
Pt 0.500 0.500 0.500
Co 0.000 0.000 0.000
```

Output
- space-group type = No. 123
- volume (Å³ per cell) = 62.0
- E above lowest polymorph (eV/f.u.) = 0.00
- Fermi-level density of states (states/eV per cell) = 9.19
- total magnetization (μB per formula unit) = 5.01

The following is a PBE+U calculation of CoPtOF2 after structural relaxation, from the Alexandria database. Values from VASP.

Geometry as Quantum ESPRESSO input:
```
&SYSTEM
  ibrav = 0, nat = 5, ntyp = 4
/
ATOMIC_SPECIES
Pt 195.08 Pt.upf
O 16.00 O.upf
F 19.00 F.upf
Co 58.93 Co.upf
CELL_PARAMETERS angstrom
-1.881 2.365 3.211
-3.490 -2.694 -0.060
1.675 -2.228 2.623
ATOMIC_POSITIONS crystal
Pt 0.000 0.000 0.000
O 0.000 0.000 0.500
F 0.500 0.000 0.000
F 0.000 0.500 0.000
Co 0.500 0.500 0.500
```

Output
- space-group type = No. 123
- volume (Å³ per cell) = 74.4
- E above lowest polymorph (eV/f.u.) = 0.89
- Fermi-level density of states (states/eV per cell) = 4.01
- total magnetization (μB per formula unit) = 2.76

The following is a PBE+U calculation of CoPtOF2 after structural relaxation, from the Alexandria database. Values from VASP.

Geometry as Quantum ESPRESSO input:
```
&SYSTEM
  ibrav = 0, nat = 5, ntyp = 4
/
ATOMIC_SPECIES
O 16.00 O.upf
F 19.00 F.upf
Pt 195.08 Pt.upf
Co 58.93 Co.upf
CELL_PARAMETERS angstrom
3.892 0.000 0.000
0.000 5.471 0.000
0.000 0.000 3.892
ATOMIC_POSITIONS crystal
O 0.500 0.500 0.500
F 0.500 0.000 0.000
F 0.000 0.000 0.500
Pt 0.000 0.000 0.000
Co 0.000 0.500 0.000
```

Output
- space-group type = No. 123
- volume (Å³ per cell) = 82.9
- E above lowest polymorph (eV/f.u.) = 2.35
- Fermi-level density of states (states/eV per cell) = 3.17
- total magnetization (μB per formula unit) = 3.32

The following is a PBE+U calculation of RbCoOF2 after structural relaxation, from the Alexandria database. Values from VASP.

Geometry as Quantum ESPRESSO input:
```
&SYSTEM
  ibrav = 0, nat = 5, ntyp = 4
/
ATOMIC_SPECIES
O 16.00 O.upf
F 19.00 F.upf
Rb 85.47 Rb.upf
Co 58.93 Co.upf
CELL_PARAMETERS angstrom
-3.251 1.371 3.300
-3.569 -1.033 -3.088
-0.157 -4.144 1.568
ATOMIC_POSITIONS crystal
O 0.000 0.000 0.500
F 0.500 0.000 0.000
F 0.000 0.500 0.000
Rb 0.000 0.000 0.000
Co 0.500 0.500 0.500
```

Output
- space-group type = No. 123
- volume (Å³ per cell) = 103.5
- E above lowest polymorph (eV/f.u.) = 8.92
- Fermi-level density of states (states/eV per cell) = 2.62
- total magnetization (μB per formula unit) = 2.85